# Th2Fe7 PBEsol optimized geometry
data_Th2Fe7
_space_group_name_H-M_alt 'P 63/m m c'
_space_group_IT_number 194
_space_group_name_Hall '-P 6c 2c'
_cell_length_a 5.0242
_cell_length_b 5.0242
_cell_length_c 24.2849
_cell_angle_alpha 90.00
_cell_angle_beta 90.00
_cell_angle_gamma 120.00
loop_
_atom_site_label
_atom_site_type_symbol
_atom_site_fract_x
_atom_site_fract_y
_atom_site_fract_z
Th1 Th 0.3333 0.6667 0.0276
Th2 Th 0.3333 0.6667 0.1729
Fe1 Fe 0.0000 0.0000 0.0000
Fe2 Fe 0.0000 0.0000 0.1686
Fe3 Fe 0.1663 0.3326 0.5861
Fe4 Fe 0.1669 0.3338 0.7500
Fe5 Fe 0.3333 0.6667 0.6677
# VASP energy in eV for the cell shown: -317.04
# Total magnetization in μB/f.u.: 13.08